Sm6Ni2PI3, relaxed, DFT GGA-PBE; total magnetization = 0.000 μB/atom; crystal system = monoclinic; formation energy without anion corrections = -0.86 eV/atom; total DFT energy (no corrections) = -5.019 eV per atom
1.0
-1.098 0.626 7.091
-5.616 -0.635 -4.465
2.528 -7.718 -0.146
Sm I Ni P
6 3 2 1
Cartesian
-3.856 -6.519 -0.105
-2.296 -6.084 3.884
-4.341 -1.428 1.853
0.154 -6.299 0.627
-0.331 -1.208 2.584
-1.890 -1.643 -1.405
-0.570 -3.439 5.136
-3.617 -4.289 -2.657
-2.093 -3.864 1.240
-2.602 0.206 3.244
-4.112 -0.215 -0.618
0.000 0.000 0.000